Entry 1:
Below is Tl2TeIr after structural relaxation, with properties calculated at the PBE level.

The energy above the most stable polymorph in this dataset is 0.4359 eV per atom. The value obtained for the total moment is 0.000 μB/atom.

The structure belongs to space group P4/mmm (No. 123); the cell edges are 4.1738, 4.1738 and 5.6269 Å and the angles 90.00°, 90.00° and 90.00°. The asymmetric unit holds Tl at (0.0000, 0.5000, 0.0000), Te at (0.0000, 0.0000, 0.5000) and Ir at (0.5000, 0.5000, 0.5000).

***

Entry 2:
Below is Y6TlTe3Ir2 after structural relaxation, with properties calculated at the PBE level.

The calculated total energy comes out at -6.650 eV per atom. The value obtained for the total moment is 0.000 μB/atom.

The structure belongs to space group C2/m (No. 12); the cell edges are 19.2883, 4.1533 and 8.9068 Å and the angles 90.00°, 109.70° and 90.00°. The asymmetric unit holds Y at (0.0081, 0.0000, 0.2593), Y at (0.1710, 0.5000, 0.1068), Y at (0.1830, 0.5000, 0.5490), Tl at (0.0000, 0.5000, 0.0000), Te at (0.0000, 0.5000, 0.5000), Te at (0.1631, 0.0000, 0.8245) and Ir at (0.1615, 0.0000, 0.3159).

***

Entry 3:
Below is Tm7Te2Ir2 after structural relaxation, with properties calculated at the PBE level.

The energy above the most stable polymorph in this dataset is 0.1969 eV per atom. The value obtained for the total moment is 0.000 μB/atom.

The structure belongs to space group Cmmm (No. 65); the cell edges are 8.6721, 10.3420 and 7.1233 Å and the angles 90.00°, 90.00° and 90.00°. The asymmetric unit holds Tm at (0.0000, 0.0000, 0.0000), Tm at (0.0000, 0.5000, 0.2289), Tm at (0.2500, 0.2500, 0.2378), Te at (0.2157, 0.0000, 0.5000) and Ir at (0.0000, 0.2773, 0.0000).

***

Entry 4:
Below is Tm5Te4Ir after structural relaxation, with properties calculated at the PBE level.

The energy above the most stable polymorph in this dataset is 0.0000 eV per atom. The value obtained for the total moment is 0.000 μB/atom.

The structure belongs to space group I4/m (No. 87); the cell edges are 9.6674, 9.6674 and 6.0299 Å and the angles 90.00°, 90.00° and 90.00°. The asymmetric unit holds Tm at (0.0000, 0.0000, 0.0000), Tm at (0.0925, 0.7426, 0.5000), Te at (0.0891, 0.6887, 0.0000) and Ir at (0.0000, 0.0000, 0.5000).

***

Entry 5:
Below is Tm5Te5Ir after structural relaxation, with properties calculated at the PBE level.

The calculated total energy comes out at -5.461 eV per atom. The value obtained for the total moment is 0.000 μB/atom.

The structure belongs to space group C2/m (No. 12); the cell edges are 13.6653, 6.0489 and 8.4755 Å and the angles 90.00°, 108.98° and 90.00°. The asymmetric unit holds Tm at (0.0000, 0.0000, 0.0000), Tm at (0.1471, 0.5000, 0.8497), Tm at (0.1480, 0.5000, 0.3063), Te at (0.0000, 0.5000, 0.5000), Te at (0.1677, 0.0000, 0.8259), Te at (0.1835, 0.0000, 0.3335) and Ir at (0.0000, 0.5000, 0.0000).

***

Entry 6:
Below is Tm2TeIr after structural relaxation, with properties calculated at the PBE level.

The energy above the most stable polymorph in this dataset is 0.1113 eV per atom. The value obtained for the total moment is 0.000 μB/atom.

The structure belongs to space group P4/mmm (No. 123); the cell edges are 3.5720, 3.5720 and 7.2776 Å and the angles 90.00°, 90.00° and 90.00°. The asymmetric unit holds Tm at (0.0000, 0.0000, 0.2200), Te at (0.5000, 0.5000, 0.5000) and Ir at (0.5000, 0.5000, 0.0000).